(1)
First-principles (PBE) data for an optimized crystal structure of La3Mg2Cd2, as listed in Alexandria.

Results
Electronic total energy, eV for the cell shown: -20.89

Lattice parameters (Å, degrees): 3.778 6.647 8.711 78.94 89.92 73.56
Element x y z (fractional)
La1 0.000 0.000 0.000
La2 0.361 0.277 0.655
La3 0.639 0.723 0.345
Mg1 0.296 0.409 0.131
Mg2 0.704 0.591 0.869
Cd1 0.084 0.831 0.646
Cd2 0.916 0.169 0.354

***

(2)
First-principles (PBE) data for an optimized crystal structure of AcSmHoTl, as listed in Alexandria.

Results
Electronic total energy, eV for the cell shown: -15.62

Lattice parameters (Å, degrees): 5.647 5.647 5.647 60.00 60.00 60.00
Element x y z (fractional)
Ac1 0.000 0.000 0.000
Sm1 0.750 0.750 0.750
Ho1 0.250 0.250 0.250
Tl1 0.500 0.500 0.500

***

(3)
First-principles (PBE) data for an optimized crystal structure of Li4Pu3ZnS8, as listed in Alexandria.

Results
Electronic total energy, eV for the cell shown: -106.54
ΔE_f (raw), meV per atom: -1350

Lattice parameters (Å, degrees): 7.570 7.570 7.570 61.57 61.57 61.57
Element x y z (fractional)
Li1 0.000 0.000 0.000
Li2 0.000 0.500 0.500
Li3 0.500 0.000 0.500
Li4 0.500 0.500 0.000
Pu1 0.000 0.000 0.500
Pu2 0.000 0.500 0.000
Pu3 0.500 0.000 0.000
Zn1 0.500 0.500 0.500
S1 0.251 0.251 0.251
S2 0.256 0.256 0.742
S3 0.256 0.742 0.256
S4 0.258 0.744 0.744
S5 0.742 0.256 0.256
S6 0.744 0.258 0.744
S7 0.744 0.744 0.258
S8 0.749 0.749 0.749

***

(4)
First-principles (PBE) data for an optimized crystal structure of Na2ZrHgS4, as listed in Alexandria.

Results
Electronic total energy, eV for the cell shown: -36.32
ΔE_f (raw), meV per atom: -1040

Lattice parameters (Å, degrees): 7.077 3.822 7.084 90.00 112.25 90.00
Element x y z (fractional)
Na1 0.000 0.000 0.000
Na2 0.000 0.500 0.500
Zr1 0.500 0.000 0.500
Hg1 0.500 0.500 0.000
S1 0.264 0.500 0.288
S2 0.297 0.000 0.742
S3 0.703 0.000 0.258
S4 0.736 0.500 0.712

***

(5)
First-principles (PBE) data for an optimized crystal structure of In3GePd12, as listed in Alexandria.

Results
Electronic total energy, eV for the cell shown: -81.77

Lattice parameters (Å, degrees): 4.017 4.017 16.001 90.00 90.00 90.00
Element x y z (fractional)
In1 0.000 0.000 0.000
In2 0.000 0.000 0.253
In3 0.000 0.000 0.747
Ge1 0.000 0.000 0.500
Pd1 0.000 0.500 0.127
Pd2 0.000 0.500 0.382
Pd3 0.000 0.500 0.618
Pd4 0.000 0.500 0.873
Pd5 0.500 0.000 0.127
Pd6 0.500 0.000 0.382
Pd7 0.500 0.000 0.618
Pd8 0.500 0.000 0.873
Pd9 0.500 0.500 0.000
Pd10 0.500 0.500 0.256
Pd11 0.500 0.500 0.500
Pd12 0.500 0.500 0.744

***

(6)
First-principles (PBE) data for an optimized crystal structure of ZnCuNi2, as listed in Alexandria.

Results
Electronic total energy, eV for the cell shown: -17.36

Lattice parameters (Å, degrees): 4.050 4.050 2.843 90.00 90.00 91.67
Element x y z (fractional)
Zn1 0.000 0.000 0.000
Cu1 0.500 0.500 0.000
Ni1 0.000 0.500 0.500
Ni2 0.500 0.000 0.500

***

(7)
First-principles (PBE) data for an optimized crystal structure of LiInNi2N, as listed in Alexandria.

Results
Electronic total energy, eV for the cell shown: -25.30
ΔE_f (raw), meV per atom: -151

Lattice parameters (Å, degrees): 3.843 3.843 4.009 90.00 90.00 90.00
Element x y z (fractional)
Li1 0.000 0.000 0.000
In1 0.500 0.500 0.000
Ni1 0.000 0.500 0.500
Ni2 0.500 0.000 0.500
N1 0.000 0.000 0.500

***

(8)
First-principles (PBE) data for an optimized crystal structure of YZn3Cu, as listed in Alexandria.

Results
Energy above the lowest structure with this stoichiometry, meV/atom: 1431
Electronic total energy, eV for the cell shown: -8.64

Lattice parameters (Å, degrees): 5.575 5.575 5.575 90.00 90.00 90.00
Element x y z (fractional)
Y1 0.000 0.000 0.000
Zn1 0.000 0.000 0.500
Zn2 0.000 0.500 0.000
Zn3 0.500 0.000 0.000
Cu1 0.500 0.500 0.500

***

(9)
First-principles (PBE) data for an optimized crystal structure of TbSi2Ir2Rh, as listed in Alexandria.

Results
Electronic total energy, eV for the cell shown: -42.56
ΔE_f (raw), meV per atom: -335

Lattice parameters (Å, degrees): 4.431 4.431 5.473 90.00 90.00 90.00
Element x y z (fractional)
Tb1 0.000 0.000 0.000
Si1 0.000 0.500 0.500
Si2 0.500 0.000 0.500
Ir1 0.500 0.500 0.241
Ir2 0.500 0.500 0.759
Rh1 0.000 0.000 0.500

***

(10)
First-principles (PBE) data for an optimized crystal structure of CoP2Pt, as listed in Alexandria.

Results
Energy above the lowest structure with this stoichiometry, meV/atom: 375
Electronic total energy, eV for the cell shown: -24.06

Lattice parameters (Å, degrees): 2.877 2.877 7.430 90.00 90.00 90.00
Element x y z (fractional)
Co1 0.000 0.000 0.000
P1 0.000 0.000 0.543
P2 0.500 0.500 0.141
Pt1 0.500 0.500 0.729

***

(11)
First-principles (PBE) data for an optimized crystal structure of SrTl2GaBi2, as listed in Alexandria.

Results
Electronic total energy, eV for the cell shown: -37.64

Lattice parameters (Å, degrees): 5.009 9.937 8.026 90.00 90.00 90.00
Element x y z (fractional)
Sr1 0.000 0.043 0.000
Sr2 0.000 0.957 0.500
Tl1 0.000 0.350 0.332
Tl2 0.000 0.650 0.832
Tl3 0.500 0.422 0.027
Tl4 0.500 0.578 0.527
Ga1 0.500 0.167 0.663
Ga2 0.500 0.833 0.163
Bi1 0.000 0.317 0.734
Bi2 0.000 0.683 0.234
Bi3 0.500 0.124 0.276
Bi4 0.500 0.876 0.776

***

(12)
First-principles (PBE) data for an optimized crystal structure of Mg3Ta2, as listed in Alexandria.

Results
Energy above the lowest structure with this stoichiometry, meV/atom: 206
Electronic total energy, eV for the cell shown: -52.15

Lattice parameters (Å, degrees): 7.884 5.862 9.160 58.50 39.34 82.16
Element x y z (fractional)
Mg1 0.000 0.000 0.000
Mg2 0.250 0.250 0.250
Mg3 0.425 0.548 0.380
Mg4 0.548 0.425 0.648
Mg5 0.602 0.870 0.702
Mg6 0.870 0.602 0.825
Ta1 0.154 0.757 0.276
Ta2 0.437 0.974 0.493
Ta3 0.757 0.154 0.813
Ta4 0.974 0.437 0.096